(1)
Below is an optimized crystal structure of Ni2TePb2, with properties calculated at the PBE level.

Geometry as POSCAR:
```
Ni2TePb2
1.0
7.144 0.000 0.000
0.000 7.144 0.000
0.000 0.000 4.143
Pb Ni Te
4 4 2
Direct
0.162 0.662 0.500
0.662 0.838 0.500
0.838 0.338 0.500
0.338 0.162 0.500
0.371 0.871 0.000
0.871 0.629 0.000
0.629 0.129 0.000
0.129 0.371 0.000
0.000 0.000 0.000
0.500 0.500 0.000
```

DOS(E_F): 5.43 states/eV per cell
Uncorrected formation energy: 62 kJ/mol of formula units

=====

(2)
Below is an optimized crystal structure of KZnP2Cl, with properties calculated at the PBE level.

Geometry as POSCAR:
```
KZnP2Cl
1.0
-5.064 -1.177 -4.778
-0.964 -6.486 2.620
-3.894 2.042 3.624
P Zn K Cl
2 1 1 1
Direct
0.000 0.500 0.000
0.500 0.000 0.000
0.500 0.500 0.500
0.000 0.000 0.000
0.000 0.000 0.500
```

Uncorrected formation energy: 476 kJ/mol of formula units

=====

(3)
Below is an optimized crystal structure of Cd2TcAu, with properties calculated at the PBE level.

Geometry as POSCAR:
```
Cd2TcAu
1.0
-3.792 0.564 4.234
-4.425 -3.606 0.202
5.631 0.939 0.202
Au Cd Tc
1 2 1
Direct
0.250 0.750 0.500
0.001 0.001 0.000
0.499 0.499 0.000
0.750 0.250 0.500
```

DOS(E_F): 2.79 states/eV per cell
DFT formation energy: 1.371 eV/f.u.

=====

(4)
Below is an optimized crystal structure of LiTlRh2, with properties calculated at the PBE level.

Geometry as POSCAR:
```
LiTlRh2
1.0
-3.013 -2.429 -2.954
-3.372 -3.506 -0.208
-3.962 2.606 0.505
Li Rh Tl
1 2 1
Direct
0.255 0.255 0.244
0.007 0.007 0.981
0.744 0.744 0.788
0.494 0.494 0.487
```

DOS(E_F): 2.73 states/eV per cell
DFT formation energy: -0.021 eV/f.u.

=====

(5)
Below is an optimized crystal structure of Y2ErTmTl2, with properties calculated at the PBE level.

Geometry as POSCAR:
```
Y2ErTmTl2
1.0
5.051 0.000 0.000
0.000 6.829 0.000
0.000 0.000 9.921
Y Er Tm Tl
4 2 2 4
Direct
0.500 0.055 0.044
0.000 0.338 0.190
0.500 0.555 0.956
0.000 0.838 0.810
0.000 0.959 0.456
0.000 0.459 0.544
0.500 0.176 0.688
0.500 0.676 0.312
0.000 0.300 0.866
0.500 0.217 0.371
0.000 0.800 0.134
0.500 0.717 0.629
```

DOS(E_F): 12.67 states/eV per cell
DFT formation energy: -1.689 eV/f.u.

=====

(6)
Below is an optimized crystal structure of Rb2LaF6, with properties calculated at the PBE level.

Geometry as POSCAR:
```
Rb2LaF6
1.0
4.249 0.000 -0.043
0.000 6.665 0.000
-1.690 -3.333 6.639
Rb La F
2 1 6
Direct
0.664 0.669 0.337
0.336 0.331 0.663
0.000 0.000 0.000
0.143 0.361 0.284
0.857 0.078 0.716
0.857 0.639 0.716
0.500 0.200 0.000
0.143 0.922 0.284
0.500 0.800 0.000
```

DOS(E_F): 12.37 states/eV per cell
Uncorrected formation energy: -2667 kJ/mol of formula units

=====

(7)
Below is an optimized crystal structure of BaAc8Ir4, with properties calculated at the PBE level.

Geometry as POSCAR:
```
BaAc8Ir4
1.0
4.348 0.000 0.942
1.987 10.646 1.335
-0.144 -0.002 11.174
Ba Ac Ir
1 8 4
Direct
0.516 0.002 0.967
0.156 0.319 0.370
0.558 0.647 0.237
0.473 0.357 0.697
0.876 0.685 0.564
0.850 0.984 0.317
0.223 0.651 0.903
0.182 0.019 0.617
0.808 0.352 0.031
0.370 0.827 0.433
0.849 0.510 0.791
0.182 0.493 0.143
0.661 0.176 0.501
```

DOS(E_F): 8.89 states/eV per cell
DFT formation energy: -7.109 eV/f.u.

=====

(8)
Below is an optimized crystal structure of Y2CuMo, with properties calculated at the PBE level.

Geometry as POSCAR:
```
Y2CuMo
1.0
-0.048 5.688 0.678
0.320 4.422 3.627
4.895 1.680 0.111
Cu Mo Y
1 1 2
Direct
0.531 0.531 0.523
0.214 0.214 0.233
0.978 0.978 0.053
0.777 0.777 0.692
```

DOS(E_F): 3.95 states/eV per cell
DFT formation energy: 0.827 eV/f.u.

=====

(9)
Below is an optimized crystal structure of CrGeSe2Br, with properties calculated at the PBE level.

Geometry as POSCAR:
```
CrGeSe2Br
1.0
-1.754 0.997 4.614
-0.039 -4.925 1.049
4.878 0.340 1.780
Cr Ge Se Br
1 1 2 1
Direct
0.500 0.500 0.500
0.000 0.000 0.000
0.000 0.500 0.000
0.500 0.000 0.000
0.000 0.000 0.500
```

DOS(E_F): 6.01 states/eV per cell
Uncorrected formation energy: 203 kJ/mol of formula units

=====

(10)
Below is an optimized crystal structure of Ba3CeNp2O9, with properties calculated at the PBE level.

Geometry as POSCAR:
```
Ba3CeNp2O9
1.0
6.291 0.000 0.000
-3.146 5.448 0.000
0.000 0.000 7.704
Ba Ce Np O
3 1 2 9
Direct
0.333 0.667 0.664
0.000 0.000 0.000
0.667 0.333 0.336
0.000 0.000 0.500
0.333 0.667 0.164
0.667 0.333 0.836
0.830 0.170 0.672
0.830 0.659 0.672
0.341 0.170 0.672
0.659 0.830 0.328
0.170 0.341 0.328
0.170 0.830 0.328
0.500 0.000 0.000
0.000 0.500 0.000
0.500 0.500 0.000
```

DOS(E_F): 16.75 states/eV per cell
Uncorrected formation energy: -4366 kJ/mol of formula units

=====

(11)
Below is an optimized crystal structure of CaNbAsSe2, with properties calculated at the PBE level.

Geometry as POSCAR:
```
CaNbAsSe2
1.0
-1.384 -2.364 -4.311
4.713 -1.912 -0.465
-1.371 -4.025 2.648
Nb Ca As Se
1 1 1 2
Direct
0.000 0.000 0.000
0.500 0.500 0.500
0.000 0.000 0.500
0.000 0.500 0.000
0.500 0.000 0.000
```

DOS(E_F): 3.66 states/eV per cell
Uncorrected formation energy: -309 kJ/mol of formula units

=====

(12)
Below is an optimized crystal structure of LiFe2Hg, with properties calculated at the PBE level.

Geometry as POSCAR:
```
LiFe2Hg
1.0
3.630 0.000 0.000
0.000 3.630 0.000
0.000 0.000 4.293
Fe Hg Li
2 1 1
Direct
0.000 0.000 0.000
0.500 0.500 0.000
0.500 0.000 0.500
0.000 0.500 0.500
```

DOS(E_F): 4.32 states/eV per cell
DFT formation energy: 0.885 eV/f.u.

=====

V values, unit Å³ per atom, following the record order: 21.14, 56.82, 18.25, 16.14, 28.52, 20.84, 39.90, 21.69, 26.40, 17.60, 26.13, 14.14.